Entry 1:
This record from Alexandria describes Na3Ni2SbO6 after structural relaxation. The functional is PBE+U.

Unit cell a=5.6893 b=5.3651 c=5.3651 alpha=119.98 beta=99.05 gamma=99.05
Closest atoms and distances in Å follow each position.
Element x y z (fractional)
Sb 0.0000 0.0000 0.0000  6 O 2.03-2.04
Na 0.5000 0.1741 0.8259  6 O 2.37-2.41
Na 0.5000 0.8259 0.1741  6 O 2.37-2.41
Na 0.5000 0.5000 0.5000  6 O 2.37-2.46
O 0.7955 0.9319 0.6132  1 Sb 2.04, 2 Ni 2.14
O 0.2043 0.7503 0.7503  1 Sb 2.03, 2 Ni 2.14
O 0.2045 0.0681 0.3868  1 Sb 2.04, 2 Ni 2.14
O 0.7955 0.6132 0.9319  1 Sb 2.04, 2 Ni 2.14
O 0.7957 0.2497 0.2497  1 Sb 2.03, 2 Ni 2.14
O 0.2045 0.3868 0.0681  1 Sb 2.04, 2 Ni 2.14
Ni 0.0000 0.3336 0.6664  6 O 2.14
Ni 0.0000 0.6664 0.3336  6 O 2.14

Properties
- uncorrected energy (eV per atom) = -5.10


Entry 2:
This record from Alexandria describes Na2Ni2SbO6 after structural relaxation. The functional is PBE+U.

Unit cell a=5.2319 b=5.2319 c=5.8905 alpha=100.13 beta=100.13 gamma=118.50
Closest atoms and distances in Å follow each position.
Element x y z (fractional)
Na 0.8240 0.1760 0.0000  6 O 2.36-2.47
Na 0.1760 0.8240 0.0000  6 O 2.36-2.47
Ni 0.3341 0.6659 0.5000  6 O 2.02-2.17
Ni 0.6659 0.3341 0.5000  6 O 2.02-2.17
Sb 0.0000 0.0000 0.5000  6 O 2.02-2.03
O 0.7463 0.7463 0.6885  1 Sb 2.03, 2 Ni 2.05
O 0.0563 0.3898 0.6967  1 Sb 2.02, 2 Ni 2.02-2.17
O 0.2537 0.2537 0.3115  1 Sb 2.03, 2 Ni 2.05
O 0.3898 0.0563 0.6967  1 Sb 2.02, 2 Ni 2.02-2.17
O 0.9437 0.6102 0.3033  1 Sb 2.02, 2 Ni 2.02-2.17
O 0.6102 0.9437 0.3033  1 Sb 2.02, 2 Ni 2.02-2.17

Properties
- uncorrected energy (eV per atom) = -5.15


Entry 3:
This record from Alexandria describes NaNiSb2O8 after structural relaxation. The functional is PBE+U.

Unit cell a=5.5059 b=5.5059 c=6.1220 alpha=90.00 beta=90.00 gamma=120.00
Closest atoms and distances in Å follow each position.
Element x y z (fractional)
Na 0.0000 0.0000 0.5000  6 O 2.83, 2 Ni 3.06
Ni 0.0000 0.0000 0.0000  6 O 2.07
Sb 0.6667 0.3333 0.0533  7 O 2.07-2.09
Sb 0.3333 0.6667 0.9467  7 O 2.07-2.09
O 0.9612 0.6459 0.8494  1 Ni 2.07, 2 Sb 2.08-2.09
O 0.3541 0.3153 0.8494  1 Ni 2.07, 2 Sb 2.08-2.09
O 0.6847 0.0388 0.8494  1 Ni 2.07, 2 Sb 2.08-2.09
O 0.0388 0.3541 0.1506  1 Ni 2.07, 2 Sb 2.08-2.09
O 0.6459 0.6847 0.1506  1 Ni 2.07, 2 Sb 2.08-2.09
O 0.3153 0.9612 0.1506  1 Ni 2.07, 2 Sb 2.08-2.09
O 0.6667 0.3333 0.3906  1 Sb 2.07
O 0.3333 0.6667 0.6094  1 Sb 2.07

Properties
- uncorrected energy (eV per atom) = -5.13


Entry 4:
This record from Alexandria describes Na3ScNi2O6 after structural relaxation. The functional is PBE+U.

Unit cell a=5.2066 b=5.2066 c=5.7500 alpha=100.24 beta=100.24 gamma=117.20
Closest atoms and distances in Å follow each position.
Element x y z (fractional)
Na 0.1700 0.8300 0.5000  6 O 2.30-2.44
Na 0.8300 0.1700 0.5000  6 O 2.30-2.44
Na 0.5000 0.5000 0.5000  6 O 2.41-2.42
Sc 0.0000 0.0000 0.0000  6 O 2.08-2.21
Ni 0.3331 0.6669 0.0000  4 O 1.95-1.97
Ni 0.6669 0.3331 0.0000  4 O 1.95-1.97
O 0.9550 0.6020 0.7948  1 Ni 1.95, 1 Sc 2.08
O 0.7114 0.7114 0.1939  2 Ni 1.97
O 0.0450 0.3980 0.2052  1 Ni 1.95, 1 Sc 2.08
O 0.6020 0.9550 0.7948  1 Ni 1.95, 1 Sc 2.08
O 0.2886 0.2886 0.8061  2 Ni 1.97
O 0.3980 0.0450 0.2052  1 Ni 1.95, 1 Sc 2.08

Properties
- uncorrected energy (eV per atom) = -5.42


Entry 5:
This record from Alexandria describes Na2ScNiO4 after structural relaxation. The functional is PBE+U.

Unit cell a=3.0568 b=5.4166 c=5.7941 alpha=109.88 beta=90.00 gamma=90.00
Closest atoms and distances in Å follow each position.
Element x y z (fractional)
Na 0.5000 0.0000 0.5000  6 O 2.36-2.44
Na 0.0000 0.5000 0.5000  6 O 2.36-2.47
Sc 0.5000 0.5000 0.0000  6 O 2.09-2.19
Ni 0.0000 0.0000 0.0000  4 O 2.00
O 0.5000 0.2132 0.1897  2 Ni 2.00, 1 Sc 2.19
O 0.5000 0.7868 0.8103  2 Ni 2.00, 1 Sc 2.19
O 0.0000 0.2737 0.7826  2 Sc 2.09, 1 Ni 2.25
O 0.0000 0.7263 0.2174  2 Sc 2.09, 1 Ni 2.25

Properties
- uncorrected energy (eV per atom) = -5.85


Entry 6:
This record from Alexandria describes Na3Sc2NiO6 after structural relaxation. The functional is PBE+U.

Unit cell a=5.4110 b=5.4110 c=5.7393 alpha=98.96 beta=98.96 gamma=120.07
Closest atoms and distances in Å follow each position.
Element x y z (fractional)
Na 0.1628 0.8372 0.5000  6 O 2.39-2.47
Na 0.8372 0.1628 0.5000  6 O 2.39-2.47
Na 0.5000 0.5000 0.5000  6 O 2.41-2.46
Sc 0.3328 0.6672 0.0000  6 O 2.13-2.14
Sc 0.6672 0.3328 0.0000  6 O 2.13-2.14
Ni 0.0000 0.0000 0.0000  6 O 2.07-2.09
O 0.9321 0.6060 0.7956  1 Ni 2.09, 2 Sc 2.13
O 0.7429 0.7429 0.2014  1 Ni 2.07, 2 Sc 2.14
O 0.0679 0.3940 0.2044  1 Ni 2.09, 2 Sc 2.13
O 0.6060 0.9321 0.7956  1 Ni 2.09, 2 Sc 2.13
O 0.2571 0.2571 0.7986  1 Ni 2.07, 2 Sc 2.14
O 0.3940 0.0679 0.2044  1 Ni 2.09, 2 Sc 2.13

Properties
- uncorrected energy (eV per atom) = -6.29


Entry 7:
This record from Alexandria describes NaNiSe2O6 after structural relaxation. The functional is PBE+U.

Unit cell a=5.2806 b=5.2806 c=6.2829 alpha=65.15 beta=65.15 gamma=60.00
Closest atoms and distances in Å follow each position.
Element x y z (fractional)
Na 0.0000 0.0000 0.0000  6 O 2.51
Ni 0.5000 0.5000 0.5000  6 O 2.09
Se 0.7258 0.7258 0.8226  3 O 1.72
Se 0.2742 0.2742 0.1774  3 O 1.72
O 0.0822 0.4720 0.7158  1 Se 1.72
O 0.7300 0.0822 0.7158  1 Se 1.72
O 0.5280 0.2700 0.2842  1 Se 1.72
O 0.9178 0.5280 0.2842  1 Se 1.72
O 0.2700 0.9178 0.2842  1 Se 1.72
O 0.4720 0.7300 0.7158  1 Se 1.72

Properties
- uncorrected energy (eV per atom) = -4.97


Entry 8:
This record from Alexandria describes Na2NiSe2O6 after structural relaxation. The functional is PBE+U.

Unit cell a=5.4587 b=5.4587 c=5.9185 alpha=90.00 beta=90.00 gamma=120.00
Closest atoms and distances in Å follow each position.
Element x y z (fractional)
Na 0.6667 0.3333 0.5928  6 O 2.55-2.69
Na 0.3333 0.6667 0.4072  6 O 2.55-2.69
Ni 0.0000 0.0000 0.0000  6 O 2.16
Se 0.3333 0.6667 0.9127  3 O 1.74
Se 0.6667 0.3333 0.0873  3 O 1.74
O 0.0979 0.3520 0.7783  1 Se 1.74
O 0.6480 0.7459 0.7783  1 Se 1.74
O 0.2541 0.9021 0.7783  1 Se 1.74
O 0.9021 0.6480 0.2217  1 Se 1.74
O 0.3520 0.2541 0.2217  1 Se 1.74
O 0.7459 0.0979 0.2217  1 Se 1.74

Properties
- uncorrected energy (eV per atom) = -4.98


Entry 9:
This record from Alexandria describes NaNiSe2O8 after structural relaxation. The functional is PBE+U.

Unit cell a=4.9290 b=4.9290 c=8.4278 alpha=73.00 beta=73.00 gamma=60.00
Closest atoms and distances in Å follow each position.
Element x y z (fractional)
Na 0.5000 0.5000 0.5000  6 O 2.91
Ni 0.0000 0.0000 0.0000  6 O 1.99
Se 0.2612 0.2612 0.2164  4 O 1.65-1.69
Se 0.7388 0.7388 0.7836  4 O 1.65-1.69
O 0.1919 0.1919 0.4242  1 Se 1.65
O 0.6181 0.2647 0.1498  1 Se 1.69
O 0.8081 0.8081 0.5758  1 Se 1.65
O 0.9674 0.6181 0.1498  1 Se 1.69
O 0.0326 0.3819 0.8502  1 Se 1.69
O 0.2647 0.9674 0.1498  1 Se 1.69
O 0.7353 0.0326 0.8502  1 Se 1.69
O 0.3819 0.7353 0.8502  1 Se 1.69

Properties
- uncorrected energy (eV per atom) = -4.96